Zr2Bi2H: optimized geometry, GGA-PBE.

abc: 3.237 11.117 11.971
angles: 90.00 90.00 90.00
Space group Cmc2_1 (No. 36)
Symmetry-distinct sites (fractional):
Zr 0.000 0.012 0.000 (multiplicity 4)
Zr 0.000 0.234 0.157 (multiplicity 4)
Bi 0.000 0.039 0.743 (multiplicity 4)
Bi 0.000 0.293 0.903 (multiplicity 4)
H 0.000 0.370 0.573 (multiplicity 4)

Calculated values
- Magnetization: 0.000 μB per cell
- Uncorrected energy: -115.8 eV per cell

ZrBi2H: optimized geometry, GGA-PBE.

abc: 7.214 7.214 7.214
angles: 90.00 90.00 90.00
Space group Fm-3m (No. 225)
Symmetry-distinct sites (fractional):
Zr 0.000 0.000 0.000 (multiplicity 4)
Bi 0.250 0.250 0.250 (multiplicity 8)
H 0.000 0.000 0.500 (multiplicity 4)

Calculated values
- Magnetization: 3.044 μB per cell
- Distance to the lowest polymorph of the same formula: 0.8276 eV per atom
- Uncorrected energy: -70.5 eV per cell

Zr2BiH: optimized geometry, GGA-PBE.

abc: 5.794 5.794 9.965
angles: 90.00 90.00 90.00
Space group I4_1/amd (No. 141, origin choice 2)
Symmetry-distinct sites (fractional):
Zr 0.000 0.000 0.000 (multiplicity 8)
Bi 0.000 0.250 0.375 (multiplicity 4)
H 0.000 0.250 0.875 (multiplicity 4)

Calculated values
- Magnetization: 0.000 μB per cell
- Distance to the lowest polymorph of the same formula: 0.3158 eV per atom
- Uncorrected energy: -97.9 eV per cell

Zr2BiH: optimized geometry, GGA-PBE.

abc: 3.6315 3.6315 6.7028
angles: 90.00 90.00 120.00
Space group P-3m1 (No. 164)
Symmetry-distinct sites (fractional):
Zr 0.3333 0.6667 0.1706 (multiplicity 2)
Bi 0.0000 0.0000 0.5000 (multiplicity 1)
H 0.0000 0.0000 0.0000 (multiplicity 1)

Calculated values
- Magnetization: 0.000 μB per cell
- Distance to the lowest polymorph of the same formula: 0.1413 eV per atom
- Uncorrected energy: -25.2 eV per cell

Zr3BiH3: optimized geometry, GGA-PBE.

abc: 5.8203 5.8203 22.4918
angles: 90.00 90.00 120.00
Space group R-3 (No. 148, hexagonal axes)
Symmetry-distinct sites (fractional):
Zr 0.0025 0.6816 0.3972 (multiplicity 18)
Bi 0.0000 0.0000 0.1661 (multiplicity 6)
H 0.0027 0.6638 0.6378 (multiplicity 18)

Calculated values
- Magnetization: 0.000 μB per cell
- Distance to the lowest polymorph of the same formula: 0.1752 eV per atom
- Uncorrected energy: -248.8 eV per cell

Zr2BiH: optimized geometry, GGA-PBE.

abc: 3.4970 3.4970 21.2750
angles: 90.00 90.00 120.00
Space group R3m (No. 160, hexagonal axes)
Symmetry-distinct sites (fractional):
Zr 0.0000 0.0000 0.0000 (multiplicity 3)
Zr 0.0000 0.0000 0.2217 (multiplicity 3)
Bi 0.0000 0.0000 0.7772 (multiplicity 3)
H 0.0000 0.0000 0.6091 (multiplicity 3)

Calculated values
- Magnetization: 0.000 μB per cell
- Distance to the lowest polymorph of the same formula: 0.1151 eV per atom
- Uncorrected energy: -75.8 eV per cell